{
  "formula": "La2TcNiTe",
  "functional": "PBE",
  "state": "relaxed",
  "cell": [[5.356, 0.000, 0.000], [0.000, 5.356, 0.000], [0.000, 0.000, 4.659]],
  "species": ["La", "La", "Tc", "Ni", "Te"],
  "frac_coords": [[0.000, 0.500, 0.000], [0.500, 0.000, 0.000], [0.000, 0.000, 0.500], [0.500, 0.500, 0.000], [0.500, 0.500, 0.500]],
  "magnetic_moment_mub_per_cell": 1.710,
  "e_tot_ev_per_cell": -28.02,
  "raw_formation_energy_kj_per_mol_fu": 108
}